(1)
# YSc2Se (meta-GGA SCAN, single point on PBEsol structure)
# * total magnetization: 0.000 μB/atom
# * final energy: -238.80 eV per cell
# * density: 4.4 g/cm3
# * DOS(E_F): 16.45 states/eV/cell
# * crystal system: trigonal
# * uncorrected formation energy: -3.2 eV/f.u.
data_YSc2Se
_cell_length_a 3.5505
_cell_length_b 3.5505
_cell_length_c 26.6302
_cell_angle_alpha 90.00
_cell_angle_beta 90.00
_cell_angle_gamma 120.00
_space_group_name_H-M_alt 'R -3 m'
_space_group_IT_number 166
_space_group_name_Hall '-R 3 2"'
loop_
_atom_site_label
_atom_site_fract_x
_atom_site_fract_y
_atom_site_fract_z
_atom_site_occupancy
Y1 0.0000 0.0000 0.0000 1
Sc1 0.0000 0.0000 0.2302 1
Se1 0.0000 0.0000 0.5000 1

(2)
# HfP2CO (meta-GGA SCAN, single point on PBEsol structure)
# * total magnetization: 0.021 μB/atom
# * final energy: -95.55 eV per cell
# * density: 4.6 g/cm3
# * DOS(E_F): 2.83 states/eV/cell
# * crystal system: tetragonal
# * uncorrected formation energy: 4.3 eV/f.u.
data_HfP2CO
_cell_length_a 5.034
_cell_length_b 5.034
_cell_length_c 3.865
_cell_angle_alpha 90.00
_cell_angle_beta 90.00
_cell_angle_gamma 90.00
_space_group_name_H-M_alt 'P 4/m m m'
_space_group_IT_number 123
_space_group_name_Hall '-P 4 2'
loop_
_atom_site_label
_atom_site_fract_x
_atom_site_fract_y
_atom_site_fract_z
_atom_site_occupancy
Hf1 0.000 0.000 0.000 1
P1 0.000 0.500 0.000 1
C1 0.500 0.500 0.500 1
O1 0.000 0.000 0.500 1

(3)
# KCaRe (meta-GGA SCAN, single point on PBEsol structure)
# * total magnetization: 0.807 μB/atom
# * final energy: -331.12 eV per cell
# * density: 5.1 g/cm3
# * formation energy from the elements: 2103 meV/atom
# * DOS(E_F): 5.39 states/eV/cell
# * crystal system: cubic
# * energy above the most stable polymorph in this dataset: 830 meV per atom
data_KCaRe
_cell_length_a 7.004
_cell_length_b 7.004
_cell_length_c 7.004
_cell_angle_alpha 90.00
_cell_angle_beta 90.00
_cell_angle_gamma 90.00
_space_group_name_H-M_alt 'F -4 3 m'
_space_group_IT_number 216
_space_group_name_Hall 'F -4 2 3'
loop_
_atom_site_label
_atom_site_fract_x
_atom_site_fract_y
_atom_site_fract_z
_atom_site_occupancy
K1 0.000 0.000 0.000 1
Ca1 0.250 0.250 0.750 1
Re1 0.250 0.250 0.250 1

(4)
# CrRh2 (meta-GGA SCAN, single point on PBEsol structure)
# * total magnetization: 0.001 μB/atom
# * final energy: -344.38 eV per cell
# * density: 11.2 g/cm3
# * formation energy from the elements: -56 meV/atom
# * DOS(E_F): 10.98 states/eV/cell
# * crystal system: orthorhombic
data_CrRh2
_cell_length_a 3.687
_cell_length_b 11.056
_cell_length_c 3.747
_cell_angle_alpha 90.00
_cell_angle_beta 90.00
_cell_angle_gamma 90.00
_space_group_name_H-M_alt 'C m c m'
_space_group_IT_number 63
_space_group_name_Hall '-C 2c 2'
loop_
_atom_site_label
_atom_site_fract_x
_atom_site_fract_y
_atom_site_fract_z
_atom_site_occupancy
Cr1 0.000 0.082 0.250 1
Rh1 0.000 0.253 0.750 1
Rh2 0.000 0.420 0.250 1

(5)
# YFeRu2 (meta-GGA SCAN, single point on PBEsol structure)
# * total magnetization: 0.696 μB/atom
# * final energy: -114.97 eV per cell
# * density: 9.1 g/cm3
# * formation energy from the elements: 163 meV/atom
# * DOS(E_F): 3.27 states/eV/cell
# * crystal system: tetragonal
data_YFeRu2
_cell_length_a 3.042
_cell_length_b 3.042
_cell_length_c 6.811
_cell_angle_alpha 90.00
_cell_angle_beta 90.00
_cell_angle_gamma 90.00
_space_group_name_H-M_alt 'P 4 m m'
_space_group_IT_number 99
_space_group_name_Hall 'P 4 -2'
loop_
_atom_site_label
_atom_site_fract_x
_atom_site_fract_y
_atom_site_fract_z
_atom_site_occupancy
Y1 0.000 0.000 0.000 1
Fe1 0.500 0.500 0.299 1
Ru1 0.000 0.000 0.478 1
Ru2 0.500 0.500 0.702 1

(6)
# TlFeRu2 (meta-GGA SCAN, single point on PBEsol structure)
# * total magnetization: 1.223 μB/atom
# * final energy: -157.73 eV per cell
# * density: 12.8 g/cm3
# * formation energy from the elements: 604 meV/atom
# * DOS(E_F): 3.09 states/eV/cell
# * crystal system: orthorhombic
# * energy above the most stable polymorph in this dataset: 235 meV per atom
data_TlFeRu2
_cell_length_a 2.982
_cell_length_b 4.401
_cell_length_c 4.563
_cell_angle_alpha 90.00
_cell_angle_beta 90.00
_cell_angle_gamma 90.00
_space_group_name_H-M_alt 'P m m m'
_space_group_IT_number 47
_space_group_name_Hall '-P 2 2'
loop_
_atom_site_label
_atom_site_fract_x
_atom_site_fract_y
_atom_site_fract_z
_atom_site_occupancy
Tl1 0.000 0.000 0.000 1
Fe1 0.500 0.000 0.500 1
Ru1 0.000 0.500 0.500 1
Ru2 0.500 0.500 0.000 1